Entry one
A plane-wave DFT calculation with PBE was carried out for a relaxed HfFeTc crystal.

abc: 4.1497 4.1497 4.1497
angles: 60.00 60.00 60.00
Last column: nearest neighbours and their distance in Å.
Fractional positions:
1 Tc 0.7500 0.7500 0.7500  4 Fe 2.54
2 Fe 0.0000 0.0000 0.0000  4 Hf 2.54, 4 Tc 2.54
3 Hf 0.2500 0.2500 0.2500  4 Fe 2.54

Entry two
A plane-wave DFT calculation with PBE was carried out for a relaxed HfFeTc crystal.

abc: 4.2797 4.2797 4.2797
angles: 60.00 60.00 60.00
Last column: nearest neighbours and their distance in Å.
Fractional positions:
1 Hf 0.0000 0.0000 0.0000  4 Tc 2.62, 4 Fe 2.62
2 Fe 0.2500 0.2500 0.2500  4 Hf 2.62
3 Tc 0.7500 0.7500 0.7500  4 Hf 2.62

Energetically preferred structure: entry one | next structure: +651 meV/atom

Entry one
A plane-wave DFT calculation with PBE was carried out for a relaxed Tm3Hf3FeTe2 crystal.

abc: 8.0114 8.0114 3.6386
angles: 90.00 90.00 120.00
Last column: nearest neighbours and their distance in Å.
Fractional positions:
1 Hf 0.3980 0.0000 0.0000  4 Te 3.05, 1 Fe 3.19, 6 Tm 3.33-3.41
2 Hf 0.0000 0.3980 0.0000  4 Te 3.05, 1 Fe 3.19, 6 Tm 3.33-3.41
3 Hf 0.6020 0.6020 0.0000  4 Te 3.05, 1 Fe 3.19, 6 Tm 3.33-3.41
4 Fe 0.0000 0.0000 0.0000  6 Tm 2.66
5 Te 0.3333 0.6667 0.5000  6 Hf 3.05, 3 Tm 3.10
6 Te 0.6667 0.3333 0.5000  6 Hf 3.05, 3 Tm 3.10
7 Tm 0.2424 0.2424 0.5000  2 Fe 2.66
8 Tm 0.7576 0.0000 0.5000  2 Fe 2.66
9 Tm 0.0000 0.7576 0.5000  2 Fe 2.66

Entry two
A plane-wave DFT calculation with PBE was carried out for a relaxed Tm3Hf3FeTe2 crystal.

abc: 7.9518 7.9518 3.7600
angles: 90.00 90.00 120.00
Last column: nearest neighbours and their distance in Å.
Fractional positions:
1 Hf 0.7729 0.0000 0.5000  2 Fe 2.61
2 Hf 0.0000 0.7729 0.5000  2 Fe 2.61
3 Hf 0.2271 0.2271 0.5000  2 Fe 2.61
4 Tm 0.0000 0.3940 0.0000  4 Te 3.08, 1 Fe 3.13, 4 Hf 3.31
5 Tm 0.6060 0.6060 0.0000  4 Te 3.08, 1 Fe 3.13, 4 Hf 3.31
6 Tm 0.3940 0.0000 0.0000  4 Te 3.08, 1 Fe 3.13, 4 Hf 3.31
7 Te 0.6667 0.3333 0.5000  6 Tm 3.08, 3 Hf 3.16
8 Te 0.3333 0.6667 0.5000  6 Tm 3.08, 3 Hf 3.16
9 Fe 0.0000 0.0000 0.0000  6 Hf 2.61

Energetically preferred structure: entry two | next structure: +257 meV/atom

Entry one
A plane-wave DFT calculation with PBE was carried out for a relaxed HfThFe crystal.

abc: 4.5788 4.5788 4.5788
angles: 60.00 60.00 60.00
Last column: nearest neighbours and their distance in Å.
Fractional positions:
1 Fe 0.2500 0.2500 0.2500  4 Th 2.80
2 Hf 0.7500 0.7500 0.7500  4 Th 2.80
3 Th 0.0000 0.0000 0.0000  4 Hf 2.80, 4 Fe 2.80

Entry two
A plane-wave DFT calculation with PBE was carried out for a relaxed HfThFe crystal.

abc: 4.5862 4.5862 4.5862
angles: 60.00 60.00 60.00
Last column: nearest neighbours and their distance in Å.
Fractional positions:
1 Hf 0.2500 0.2500 0.2500  4 Fe 2.81
2 Th 0.7500 0.7500 0.7500  4 Fe 2.81
3 Fe 0.0000 0.0000 0.0000  4 Hf 2.81, 4 Th 2.81

Energetically preferred structure: entry two | next structure: +1006 meV/atom

Entry one
A plane-wave DFT calculation with PBE was carried out for a relaxed HfTlZnFe crystal.

abc: 4.6548 4.6548 4.6548
angles: 60.00 60.00 60.00
Last column: nearest neighbours and their distance in Å.
Fractional positions:
1 Tl 0.0000 0.0000 0.0000  4 Fe 2.85, 4 Hf 2.85
2 Zn 0.5000 0.5000 0.5000  4 Hf 2.85, 4 Fe 2.85
3 Hf 0.2500 0.2500 0.2500  4 Zn 2.85, 4 Tl 2.85
4 Fe 0.7500 0.7500 0.7500  4 Tl 2.85, 4 Zn 2.85

Entry two
A plane-wave DFT calculation with PBE was carried out for a relaxed HfTlZnFe crystal.

abc: 4.6091 4.6091 4.6091
angles: 60.00 60.00 60.00
Last column: nearest neighbours and their distance in Å.
Fractional positions:
1 Zn 0.2500 0.2500 0.2500  4 Hf 2.82, 4 Tl 2.82
2 Tl 0.0000 0.0000 0.0000  4 Zn 2.82, 4 Fe 2.82
3 Fe 0.7500 0.7500 0.7500  4 Hf 2.82, 4 Tl 2.82
4 Hf 0.5000 0.5000 0.5000  4 Zn 2.82, 4 Fe 2.82

Energetically preferred structure: entry two | next structure: +83 meV/atom

Entry one
A plane-wave DFT calculation with PBE was carried out for a relaxed HfUFe crystal.

abc: 4.3705 4.3705 4.3705
angles: 60.00 60.00 60.00
Last column: nearest neighbours and their distance in Å.
Fractional positions:
1 Fe 0.0000 0.0000 0.0000  4 Hf 2.68, 4 U 2.68
2 U 0.2500 0.2500 0.2500  4 Fe 2.68
3 Hf 0.7500 0.7500 0.7500  4 Fe 2.68

Entry two
A plane-wave DFT calculation with PBE was carried out for a relaxed HfUFe crystal.

abc: 4.3600 4.3600 4.3600
angles: 60.00 60.00 60.00
Last column: nearest neighbours and their distance in Å.
Fractional positions:
1 Hf 0.7500 0.7500 0.7500  4 U 2.67
2 U 0.0000 0.0000 0.0000  4 Hf 2.67, 4 Fe 2.67
3 Fe 0.2500 0.2500 0.2500  4 U 2.67

Energetically preferred structure: entry one | next structure: +620 meV/atom

Entry one
A plane-wave DFT calculation with PBE was carried out for a relaxed LiFeTcHg crystal.

abc: 4.4630 4.4630 4.4630
angles: 60.00 60.00 60.00
Last column: nearest neighbours and their distance in Å.
Fractional positions:
1 Tc 0.5000 0.5000 0.5000  4 Li 2.73, 4 Hg 2.73
2 Fe 0.0000 0.0000 0.0000  4 Li 2.73, 4 Hg 2.73
3 Li 0.7500 0.7500 0.7500  4 Fe 2.73, 4 Tc 2.73
4 Hg 0.2500 0.2500 0.2500  4 Fe 2.73, 4 Tc 2.73

Entry two
A plane-wave DFT calculation with PBE was carried out for a relaxed LiFeTcHg crystal.

abc: 4.2596 4.2596 4.2596
angles: 60.00 60.00 60.00
Last column: nearest neighbours and their distance in Å.
Fractional positions:
1 Tc 0.5000 0.5000 0.5000  4 Fe 2.61, 4 Li 2.61
2 Hg 0.0000 0.0000 0.0000  4 Fe 2.61, 4 Li 2.61
3 Fe 0.2500 0.2500 0.2500  4 Hg 2.61, 4 Tc 2.61
4 Li 0.7500 0.7500 0.7500  4 Hg 2.61, 4 Tc 2.61

Energetically preferred structure: entry two | next structure: +241 meV/atom

Entry one
A plane-wave DFT calculation with PBE was carried out for a relaxed LuFeSnHg crystal.

abc: 4.8928 4.8928 4.8928
angles: 60.00 60.00 60.00
Last column: nearest neighbours and their distance in Å.
Fractional positions:
1 Lu 0.5000 0.5000 0.5000  4 Fe 3.00, 4 Hg 3.00
2 Fe 0.7500 0.7500 0.7500  4 Sn 3.00, 4 Lu 3.00
3 Sn 0.0000 0.0000 0.0000  4 Fe 3.00, 4 Hg 3.00
4 Hg 0.2500 0.2500 0.2500  4 Lu 3.00, 4 Sn 3.00

Entry two
A plane-wave DFT calculation with PBE was carried out for a relaxed LuFeSnHg crystal.

abc: 4.9096 4.9096 4.9096
angles: 60.00 60.00 60.00
Last column: nearest neighbours and their distance in Å.
Fractional positions:
1 Sn 0.0000 0.0000 0.0000  4 Fe 3.01, 4 Lu 3.01
2 Hg 0.5000 0.5000 0.5000  4 Lu 3.01, 4 Fe 3.01
3 Fe 0.7500 0.7500 0.7500  4 Hg 3.01, 4 Sn 3.01
4 Lu 0.2500 0.2500 0.2500  4 Hg 3.01, 4 Sn 3.01

Energetically preferred structure: entry two | next structure: +69 meV/atom

Entry one
A plane-wave DFT calculation with PBE was carried out for a relaxed LuTlFeHg crystal.

abc: 4.9194 4.9194 4.9194
angles: 60.00 60.00 60.00
Last column: nearest neighbours and their distance in Å.
Fractional positions:
1 Lu 0.2500 0.2500 0.2500  4 Hg 3.01, 4 Tl 3.01
2 Fe 0.7500 0.7500 0.7500  4 Hg 3.01, 4 Tl 3.01
3 Hg 0.5000 0.5000 0.5000  4 Fe 3.01, 4 Lu 3.01
4 Tl 0.0000 0.0000 0.0000  4 Fe 3.01, 4 Lu 3.01

Entry two
A plane-wave DFT calculation with PBE was carried out for a relaxed LuTlFeHg crystal.

abc: 4.9436 4.9436 4.9436
angles: 60.00 60.00 60.00
Last column: nearest neighbours and their distance in Å.
Fractional positions:
1 Lu 0.5000 0.5000 0.5000  4 Hg 3.03, 4 Fe 3.03
2 Tl 0.0000 0.0000 0.0000  4 Fe 3.03, 4 Hg 3.03
3 Hg 0.2500 0.2500 0.2500  4 Lu 3.03, 4 Tl 3.03
4 Fe 0.7500 0.7500 0.7500  4 Tl 3.03, 4 Lu 3.03

Energetically preferred structure: entry one | next structure: +96 meV/atom

Entry one
A plane-wave DFT calculation with PBE was carried out for a relaxed MgFeHgTe3 crystal.

abc: 4.0402 6.6229 13.2000
angles: 90.00 90.00 72.24
Last column: nearest neighbours and their distance in Å.
Fractional positions:
1 Hg 0.0000 0.0000 0.5000  4 Te 3.07
2 Hg 0.0000 0.0000 0.0000  4 Te 3.07
3 Te 0.0831 0.8338 0.7500  2 Fe 2.59
4 Te 0.9169 0.1662 0.2500  2 Fe 2.59
5 Te 0.6580 0.6840 0.4103  1 Fe 2.55
6 Te 0.3420 0.3160 0.9103  1 Fe 2.55
7 Te 0.6580 0.6840 0.0897  1 Fe 2.55
8 Te 0.3420 0.3160 0.5897  1 Fe 2.55
9 Fe 0.5453 0.9094 0.2500  4 Te 2.55-2.59
10 Fe 0.4547 0.0906 0.7500  4 Te 2.55-2.59
11 Mg 0.2195 0.5609 0.2500  2 Fe 2.99, 6 Te 3.03-3.21
12 Mg 0.7805 0.4391 0.7500  2 Fe 2.99, 6 Te 3.03-3.21

Entry two
A plane-wave DFT calculation with PBE was carried out for a relaxed MgFeHgTe3 crystal.

abc: 7.6361 7.6361 11.5605
angles: 90.00 90.00 28.03
Last column: nearest neighbours and their distance in Å.
Fractional positions:
1 Fe 0.0000 0.0000 0.0000  6 Te 2.62-2.92
2 Fe 0.0000 0.0000 0.5000  6 Te 2.62-2.92
3 Te 0.3753 0.3753 0.5047  2 Fe 2.62, 1 Mg 2.84
4 Te 0.0295 0.0295 0.7500  2 Mg 2.90, 2 Fe 2.92
5 Te 0.6247 0.6247 0.4953  2 Fe 2.62, 1 Mg 2.84
6 Te 0.9705 0.9705 0.2500  2 Mg 2.90, 2 Fe 2.92
7 Te 0.6247 0.6247 0.0047  2 Fe 2.62, 1 Mg 2.84
8 Te 0.3753 0.3753 0.9953  2 Fe 2.62, 1 Mg 2.84
9 Mg 0.3788 0.3788 0.7500  4 Te 2.84-2.90, 2 Hg 2.94
10 Mg 0.6212 0.6212 0.2500  4 Te 2.84-2.90, 2 Hg 2.94
11 Hg 0.7247 0.7247 0.7500  2 Mg 2.94
12 Hg 0.2753 0.2753 0.2500  2 Mg 2.94

Energetically preferred structure: entry two | next structure: +40 meV/atom

Entry one
A plane-wave DFT calculation with PBE was carried out for a relaxed ZnFeHgMo crystal.

abc: 4.4747 4.4747 4.4747
angles: 60.00 60.00 60.00
Last column: nearest neighbours and their distance in Å.
Fractional positions:
1 Fe 0.7500 0.7500 0.7500  4 Mo 2.74, 4 Zn 2.74
2 Zn 0.0000 0.0000 0.0000  4 Hg 2.74, 4 Fe 2.74
3 Hg 0.2500 0.2500 0.2500  4 Mo 2.74, 4 Zn 2.74
4 Mo 0.5000 0.5000 0.5000  4 Fe 2.74, 4 Hg 2.74

Entry two
A plane-wave DFT calculation with PBE was carried out for a relaxed ZnFeHgMo crystal.

abc: 4.4857 4.4857 4.4857
angles: 60.00 60.00 60.00
Last column: nearest neighbours and their distance in Å.
Fractional positions:
1 Fe 0.7500 0.7500 0.7500  4 Hg 2.75, 4 Zn 2.75
2 Hg 0.5000 0.5000 0.5000  4 Mo 2.75, 4 Fe 2.75
3 Zn 0.0000 0.0000 0.0000  4 Mo 2.75, 4 Fe 2.75
4 Mo 0.2500 0.2500 0.2500  4 Hg 2.75, 4 Zn 2.75

Energetically preferred structure: entry one | next structure: +75 meV/atom

Entry one
A plane-wave DFT calculation with PBE was carried out for a relaxed NaFeReHg crystal.

abc: 4.4138 4.4138 4.4138
angles: 60.00 60.00 60.00
Last column: nearest neighbours and their distance in Å.
Fractional positions:
1 Fe 0.2500 0.2500 0.2500  4 Re 2.70, 4 Hg 2.70
2 Na 0.7500 0.7500 0.7500  4 Hg 2.70, 4 Re 2.70
3 Re 0.5000 0.5000 0.5000  4 Na 2.70, 4 Fe 2.70
4 Hg 0.0000 0.0000 0.0000  4 Na 2.70, 4 Fe 2.70

Entry two
A plane-wave DFT calculation with PBE was carried out for a relaxed NaFeReHg crystal.

abc: 4.5467 4.5467 4.5467
angles: 60.00 60.00 60.00
Last column: nearest neighbours and their distance in Å.
Fractional positions:
1 Na 0.7500 0.7500 0.7500  4 Hg 2.78, 4 Fe 2.78
2 Re 0.2500 0.2500 0.2500  4 Fe 2.78, 4 Hg 2.78
3 Hg 0.0000 0.0000 0.0000  4 Na 2.78, 4 Re 2.78
4 Fe 0.5000 0.5000 0.5000  4 Re 2.78, 4 Na 2.78

Energetically preferred structure: entry two | next structure: +6 meV/atom

Entry one
A plane-wave DFT calculation with PBE was carried out for a relaxed NbFeHgSb crystal.

abc: 4.6997 4.6997 4.6997
angles: 60.00 60.00 60.00
Last column: nearest neighbours and their distance in Å.
Fractional positions:
1 Nb 0.2500 0.2500 0.2500  4 Sb 2.88, 4 Hg 2.88
2 Sb 0.0000 0.0000 0.0000  4 Nb 2.88, 4 Fe 2.88
3 Fe 0.7500 0.7500 0.7500  4 Hg 2.88, 4 Sb 2.88
4 Hg 0.5000 0.5000 0.5000  4 Fe 2.88, 4 Nb 2.88

Entry two
A plane-wave DFT calculation with PBE was carried out for a relaxed NbFeHgSb crystal.

abc: 4.7177 4.7177 4.7177
angles: 60.00 60.00 60.00
Last column: nearest neighbours and their distance in Å.
Fractional positions:
1 Fe 0.7500 0.7500 0.7500  4 Nb 2.89, 4 Sb 2.89
2 Hg 0.2500 0.2500 0.2500  4 Nb 2.89, 4 Sb 2.89
3 Nb 0.5000 0.5000 0.5000  4 Hg 2.89, 4 Fe 2.89
4 Sb 0.0000 0.0000 0.0000  4 Fe 2.89, 4 Hg 2.89

Energetically preferred structure: entry one | next structure: +172 meV/atom

Entry one
A plane-wave DFT calculation with PBE was carried out for a relaxed NbFeSnHg crystal.

abc: 4.6613 4.6613 4.6613
angles: 60.00 60.00 60.00
Last column: nearest neighbours and their distance in Å.
Fractional positions:
1 Hg 0.2500 0.2500 0.2500  4 Sn 2.85, 4 Nb 2.85
2 Nb 0.5000 0.5000 0.5000  4 Hg 2.85, 4 Fe 2.85
3 Sn 0.0000 0.0000 0.0000  4 Hg 2.85, 4 Fe 2.85
4 Fe 0.7500 0.7500 0.7500  4 Nb 2.85, 4 Sn 2.85

Entry two
A plane-wave DFT calculation with PBE was carried out for a relaxed NbFeSnHg crystal.

abc: 4.6450 4.6450 4.6450
angles: 60.00 60.00 60.00
Last column: nearest neighbours and their distance in Å.
Fractional positions:
1 Hg 0.5000 0.5000 0.5000  4 Fe 2.84, 4 Nb 2.84
2 Nb 0.2500 0.2500 0.2500  4 Hg 2.84, 4 Sn 2.84
3 Fe 0.7500 0.7500 0.7500  4 Sn 2.84, 4 Hg 2.84
4 Sn 0.0000 0.0000 0.0000  4 Fe 2.84, 4 Nb 2.84

Energetically preferred structure: entry two | next structure: +69 meV/atom

Entry one
A plane-wave DFT calculation with PBE was carried out for a relaxed NbTlFeHg crystal.

abc: 4.6868 4.6868 4.6868
angles: 60.00 60.00 60.00
Last column: nearest neighbours and their distance in Å.
Fractional positions:
1 Hg 0.2500 0.2500 0.2500  4 Nb 2.87, 4 Tl 2.87
2 Fe 0.7500 0.7500 0.7500  4 Tl 2.87, 4 Nb 2.87
3 Tl 0.0000 0.0000 0.0000  4 Fe 2.87, 4 Hg 2.87
4 Nb 0.5000 0.5000 0.5000  4 Hg 2.87, 4 Fe 2.87

Entry two
A plane-wave DFT calculation with PBE was carried out for a relaxed NbTlFeHg crystal.

abc: 4.6624 4.6624 4.6624
angles: 60.00 60.00 60.00
Last column: nearest neighbours and their distance in Å.
Fractional positions:
1 Tl 0.0000 0.0000 0.0000  4 Fe 2.86, 4 Nb 2.86
2 Nb 0.2500 0.2500 0.2500  4 Hg 2.86, 4 Tl 2.86
3 Fe 0.7500 0.7500 0.7500  4 Hg 2.86, 4 Tl 2.86
4 Hg 0.5000 0.5000 0.5000  4 Fe 2.86, 4 Nb 2.86

Energetically preferred structure: entry two | next structure: +28 meV/atom

Entry one
A plane-wave DFT calculation with PBE was carried out for a relaxed ZnFeNiHg crystal.

abc: 4.3369 4.3369 4.3369
angles: 60.00 60.00 60.00
Last column: nearest neighbours and their distance in Å.
Fractional positions:
1 Fe 0.7500 0.7500 0.7500  4 Zn 2.66, 4 Hg 2.66
2 Zn 0.0000 0.0000 0.0000  4 Ni 2.66, 4 Fe 2.66
3 Ni 0.2500 0.2500 0.2500  4 Zn 2.66, 4 Hg 2.66
4 Hg 0.5000 0.5000 0.5000  4 Ni 2.66, 4 Fe 2.66

Entry two
A plane-wave DFT calculation with PBE was carried out for a relaxed ZnFeNiHg crystal.

abc: 4.3436 4.3436 4.3436
angles: 60.00 60.00 60.00
Last column: nearest neighbours and their distance in Å.
Fractional positions:
1 Fe 0.7500 0.7500 0.7500  4 Ni 2.66, 4 Zn 2.66
2 Ni 0.5000 0.5000 0.5000  4 Fe 2.66, 4 Hg 2.66
3 Hg 0.2500 0.2500 0.2500  4 Ni 2.66, 4 Zn 2.66
4 Zn 0.0000 0.0000 0.0000  4 Hg 2.66, 4 Fe 2.66

Energetically preferred structure: entry two | next structure: +8 meV/atom